{
  "formula": "ZrMn2Fe",
  "functional": "PBE-GGA",
  "state": "relaxed",
  "lattice_angstrom": [[2.810, 0.000, 0.000], [0.000, 4.083, 0.000], [-1.201, 0.000, 4.995]],
  "species": ["Zr", "Mn", "Mn", "Fe"],
  "frac_coords": [[0.000, 0.000, 0.000], [0.302, 0.500, 0.709], [0.698, 0.500, 0.291], [0.500, 0.000, 0.500]],
  "de_polymorph_kj_per_mol_fu": 59,
  "volume_a3_per_cell": 57,
  "e_form_mev_per_atom": 207,
  "spacegroup": "P2/m"
}

***

{
  "formula": "LiFeTcCl2",
  "functional": "PBE-GGA",
  "state": "relaxed",
  "lattice_angstrom": [[4.407, 0.000, 0.000], [0.000, 4.407, 0.000], [0.000, 0.000, 4.940]],
  "species": ["Li", "Fe", "Tc", "Cl", "Cl"],
  "frac_coords": [[0.000, 0.000, 0.000], [0.000, 0.000, 0.500], [0.500, 0.500, 0.000], [0.000, 0.500, 0.500], [0.500, 0.000, 0.500]],
  "volume_a3_per_cell": 96,
  "e_form_raw_mev_per_atom": 783.4,
  "spacegroup": "P4/mmm"
}

***

{
  "formula": "V4Pd12Au",
  "functional": "PBE-GGA",
  "state": "relaxed",
  "lattice_angstrom": [[-4.122, 4.122, 4.122], [4.122, -4.122, 4.122], [4.122, 4.122, -4.122]],
  "species": ["V", "V", "V", "V", "Pd", "Pd", "Pd", "Pd", "Pd", "Pd", "Pd", "Pd", "Pd", "Pd", "Pd", "Pd", "Au"],
  "frac_coords": [[0.000, 0.000, 0.500], [0.000, 0.500, 0.000], [0.500, 0.000, 0.000], [0.500, 0.500, 0.500], [0.000, 0.301, 0.301], [0.000, 0.699, 0.699], [0.250, 0.500, 0.750], [0.250, 0.750, 0.500], [0.301, 0.000, 0.301], [0.301, 0.301, 0.000], [0.500, 0.250, 0.750], [0.500, 0.750, 0.250], [0.699, 0.000, 0.699], [0.699, 0.699, 0.000], [0.750, 0.250, 0.500], [0.750, 0.500, 0.250], [0.000, 0.000, 0.000]],
  "volume_a3_per_cell": 280,
  "e_form_mev_per_atom": 147,
  "spacegroup": "Im-3m"
}

***

{
  "formula": "SbHIrRu2",
  "functional": "PBE-GGA",
  "state": "relaxed",
  "lattice_angstrom": [[4.028, 0.000, 0.000], [0.000, 4.028, 0.000], [0.000, 0.000, 3.971]],
  "species": ["Sb", "H", "Ir", "Ru", "Ru"],
  "frac_coords": [[0.000, 0.000, 0.000], [0.500, 0.500, 0.500], [0.500, 0.500, 0.000], [0.000, 0.500, 0.500], [0.500, 0.000, 0.500]],
  "volume_a3_per_cell": 64,
  "e_tot_ev_per_atom": -6.880,
  "spacegroup": "P4/mmm"
}

***

{
  "formula": "ZnAgH2Pd7",
  "functional": "PBE-GGA",
  "state": "relaxed",
  "lattice_angstrom": [[3.874, 0.000, 0.000], [0.000, 3.874, 0.000], [0.000, 0.000, 10.478]],
  "species": ["Zn", "Ag", "H", "H", "Pd", "Pd", "Pd", "Pd", "Pd", "Pd", "Pd"],
  "frac_coords": [[0.000, 0.000, 0.000], [0.000, 0.000, 0.500], [0.500, 0.500, 0.183], [0.500, 0.500, 0.817], [0.000, 0.500, 0.196], [0.000, 0.500, 0.804], [0.500, 0.000, 0.196], [0.500, 0.000, 0.804], [0.500, 0.500, 0.000], [0.500, 0.500, 0.380], [0.500, 0.500, 0.620]],
  "volume_a3_per_cell": 157,
  "e_tot_ev_per_atom": -4.300,
  "spacegroup": "P4/mmm"
}

***

{
  "formula": "KAgSn2",
  "functional": "PBE-GGA",
  "state": "relaxed",
  "lattice_angstrom": [[5.652, 0.000, 0.000], [0.000, 5.652, 0.000], [0.000, 0.000, 19.402]],
  "species": ["K", "K", "K", "K", "Ag", "Ag", "Ag", "Ag", "Sn", "Sn", "Sn", "Sn", "Sn", "Sn", "Sn", "Sn"],
  "frac_coords": [[0.000, 0.000, 0.000], [0.000, 0.500, 0.250], [0.500, 0.000, 0.750], [0.500, 0.500, 0.500], [0.000, 0.000, 0.500], [0.000, 0.500, 0.750], [0.500, 0.000, 0.250], [0.500, 0.500, 0.000], [0.034, 0.250, 0.625], [0.250, 0.534, 0.875], [0.250, 0.966, 0.375], [0.466, 0.250, 0.125], [0.534, 0.750, 0.125], [0.750, 0.034, 0.375], [0.750, 0.466, 0.875], [0.966, 0.750, 0.625]],
  "volume_a3_per_cell": 620,
  "e_form_mev_per_atom": 72,
  "spacegroup": "I-42d"
}